[1]
Computed, not measured: a PBEsol-optimized structure of SrLi2Al at the meta-GGA SCAN level of DFT.

a b c (Å): 4.740 4.759 5.658
angles (deg): 114.81 90.00 119.87
Fractional coordinates of all 4 atoms:
Sr  0.500  0.000  0.000
Al  0.000  0.000  0.500
Li  0.712  0.425  0.637
Li  0.288  0.575  0.363

Results
Magnetization (Bohr magnetons per cell): 0.0
ΔH_f (0 K) (meV/atom): -67
V (Å³/atom): 24.21

---

[2]
Computed, not measured: a PBEsol-optimized structure of CuIr2Pt at the meta-GGA SCAN level of DFT.

a b c (Å): 2.714 2.714 7.445
angles (deg): 90.00 90.00 90.00
Fractional coordinates of all 4 atoms:
Ir  0.000  0.000  0.998
Ir  0.500  0.500  0.241
Pt  0.000  0.000  0.507
Cu  0.500  0.500  0.753

Results
Magnetization (Bohr magnetons per cell): 0.0
Polymorph energy (0 for the lowest one) (meV per atom): 0
ΔH_f (0 K) (meV/atom): 4
V (Å³/atom): 13.71

---

[3]
Computed, not measured: a PBEsol-optimized structure of Be5Au at the meta-GGA SCAN level of DFT.

a b c (Å): 3.725 4.202 4.202
angles (deg): 120.00 90.00 90.00
Fractional coordinates of all 6 atoms:
Be  0.000  0.388  0.388
Be  0.000  0.612  0.000
Be  0.000  0.000  0.612
Be  0.500  0.333  0.667
Be  0.500  0.667  0.333
Au  0.500  0.000  0.000

Results
Magnetization (Bohr magnetons per cell): 0.0
Polymorph energy (0 for the lowest one) (meV per atom): 32
ΔH_f (0 K) (meV/atom): -198
V (Å³/atom): 9.50

---

[4]
Computed, not measured: a PBEsol-optimized structure of KCo2Hg at the meta-GGA SCAN level of DFT.

a b c (Å): 3.251 4.730 6.200
angles (deg): 90.00 97.03 90.00
Each line ends with the local moment (μB).
Fractional coordinates of all 4 atoms:
Co  0.727  0.000  0.887  2.03
Co  0.273  0.000  0.113  2.03
Hg  0.500  0.500  0.000  0.00
K  0.000  0.500  0.500  0.00

Results
Magnetization (Bohr magnetons per cell): 4.2
ΔH_f (0 K) (meV/atom): 643
V (Å³/atom): 23.66

---

[5]
Computed, not measured: a PBEsol-optimized structure of AlRh5 at the meta-GGA SCAN level of DFT.

a b c (Å): 2.711 5.002 6.429
angles (deg): 104.90 90.00 105.72
Fractional coordinates of all 6 atoms:
Rh  0.664  0.328  0.328
Rh  0.339  0.679  0.676
Rh  0.386  0.772  0.275
Rh  0.058  0.116  0.607
Rh  0.719  0.439  0.946
Al  0.000  0.999  0.002

Results
Magnetization (Bohr magnetons per cell): 0.0
ΔH_f (0 K) (meV/atom): -347
V (Å³/atom): 13.48

---

[6]
Computed, not measured: a PBEsol-optimized structure of CaBeCl2 at the meta-GGA SCAN level of DFT.

a b c (Å): 4.880 4.880 4.880
angles (deg): 60.00 60.00 60.00
Fractional coordinates of all 4 atoms:
Be  0.500  0.500  0.500
Ca  0.000  0.000  0.000
Cl  0.250  0.250  0.250
Cl  0.750  0.750  0.750

Results
Magnetization (Bohr magnetons per cell): 0.0
Formation energy without anion corrections (eV/f.u.): -3.4
Polymorph energy (0 for the lowest one) (meV per atom): 218
V (Å³/atom): 20.55

---

[7]
Computed, not measured: a PBEsol-optimized structure of CaOs2Ru at the meta-GGA SCAN level of DFT.

a b c (Å): 2.651 5.028 5.028
angles (deg): 113.11 90.00 90.00
Fractional coordinates of all 4 atoms:
Ca  0.500  0.500  0.500
Os  0.000  0.500  0.000
Os  0.000  0.000  0.500
Ru  0.500  0.000  0.000

Results
Magnetization (Bohr magnetons per cell): 0.0
Polymorph energy (0 for the lowest one) (meV per atom): 229
ΔH_f (0 K) (meV/atom): 667
V (Å³/atom): 15.41

---

[8]
Computed, not measured: a PBEsol-optimized structure of CdHg2Pb at the meta-GGA SCAN level of DFT.

a b c (Å): 4.621 4.621 5.558
angles (deg): 114.57 114.57 90.00
Fractional coordinates of all 4 atoms:
Pb  0.500  0.500  0.000
Hg  0.750  0.250  0.500
Hg  0.250  0.750  0.500
Cd  0.000  0.000  0.000

Results
Magnetization (Bohr magnetons per cell): 0.0
ΔH_f (0 K) (meV/atom): 66
V (Å³/atom): 24.00

---

[9]
Computed, not measured: a PBEsol-optimized structure of LiHf3Ni at the meta-GGA SCAN level of DFT.

a b c (Å): 4.790 4.790 4.790
angles (deg): 90.00 90.00 90.00
Each line ends with the local moment (μB).
Fractional coordinates of all 5 atoms:
Ni  0.000  0.000  0.000  0.08
Hf  0.000  0.500  0.000  0.20
Hf  0.000  0.000  0.500  0.20
Hf  0.500  0.000  0.000  0.20
Li  0.500  0.500  0.500  0.02

Results
Magnetization (Bohr magnetons per cell): 1.3
ΔH_f (0 K) (meV/atom): 403
V (Å³/atom): 21.99

---

[10]
Computed, not measured: a PBEsol-optimized structure of AlFeTeI2 at the meta-GGA SCAN level of DFT.

a b c (Å): 5.029 5.385 5.385
angles (deg): 90.00 90.00 90.00
Each line ends with the local moment (μB).
Fractional coordinates of all 5 atoms:
I  0.000  0.000  0.500  -0.01
I  0.000  0.500  0.000  -0.01
Te  0.500  0.000  0.000  0.07
Fe  0.000  0.000  0.000  2.99
Al  0.500  0.500  0.500  0.01

Results
Magnetization (Bohr magnetons per cell): 3.3
Formation energy without anion corrections (eV/f.u.): 1.6
V (Å³/atom): 29.17

---

[11]
Computed, not measured: a PBEsol-optimized structure of NaPb2Au2 at the meta-GGA SCAN level of DFT.

a b c (Å): 3.830 7.852 7.852
angles (deg): 90.00 90.00 90.00
Fractional coordinates of all 10 atoms:
Pb  0.500  0.167  0.667
Pb  0.500  0.667  0.833
Pb  0.500  0.833  0.333
Pb  0.500  0.333  0.167
Na  0.000  0.000  0.000
Na  0.000  0.500  0.500
Au  0.000  0.367  0.867
Au  0.000  0.867  0.633
Au  0.000  0.633  0.133
Au  0.000  0.133  0.367

Results
Magnetization (Bohr magnetons per cell): 0.0
ΔH_f (0 K) (meV/atom): -200
V (Å³/atom): 23.62

---

[12]
Computed, not measured: a PBEsol-optimized structure of NdCo9Si2 at the meta-GGA SCAN level of DFT.

a b c (Å): 6.209 7.447 7.447
angles (deg): 79.99 65.37 65.37
Each line ends with the local moment (μB).
Fractional coordinates of all 24 atoms:
Nd  0.750  0.500  0.500  -0.21
Nd  0.000  0.000  0.000  -0.21
Co  0.500  0.000  0.000  1.12
Co  0.250  0.500  0.500  1.12
Co  0.185  0.581  0.169  1.32
Co  0.185  0.169  0.581  1.32
Co  0.104  0.081  0.331  1.32
Co  0.104  0.331  0.081  1.32
Co  0.935  0.831  0.419  1.32
Co  0.935  0.419  0.831  1.32
Co  0.516  0.669  0.919  1.32
Co  0.516  0.919  0.669  1.32
Co  0.565  0.919  0.331  1.32
Co  0.565  0.331  0.919  1.32
Co  0.646  0.419  0.169  1.32
Co  0.646  0.169  0.419  1.32
Co  0.815  0.669  0.081  1.32
Co  0.815  0.081  0.669  1.32
Co  0.234  0.831  0.581  1.32
Co  0.234  0.581  0.831  1.32
Si  0.375  0.250  0.250  -0.09
Si  0.375  0.750  0.250  -0.09
Si  0.375  0.250  0.750  -0.09
Si  0.875  0.750  0.750  -0.09

Results
Magnetization (Bohr magnetons per cell): 21.6
Formation energy without anion corrections (eV/f.u.): -2.3
V (Å³/atom): 11.85

---

- What is the magnetization in the sixth record?
  0.0 Bohr magnetons per cell